No. 1
The following is a PBE-GGA calculation of Zn2CrN3 after structural relaxation, from the Alexandria database.

Lattice parameters (Å, degrees): 5.5406 5.5406 5.2471 90.00 90.00 119.61
Last column: nearest neighbours and their distance in Å.
Atoms (fractional coordinates):
1 Zn 0.1694 0.4987 0.5270  4 N 2.03-2.09
2 Zn 0.4987 0.1694 0.5270  4 N 2.03-2.09
3 Zn 0.8306 0.5013 0.0270  4 N 2.03-2.09
4 Zn 0.5013 0.8306 0.0270  4 N 2.03-2.09
5 Cr 0.1631 0.1631 0.0404  4 N 1.77-1.86
6 Cr 0.8369 0.8369 0.5404  4 N 1.77-1.86
7 N 0.1646 0.4691 0.1372  1 Cr 1.77
8 N 0.4691 0.1646 0.1372  1 Cr 1.77
9 N 0.8354 0.5309 0.6372  1 Cr 1.77
10 N 0.5309 0.8354 0.6372  1 Cr 1.77
11 N 0.1397 0.1397 0.6869  2 Cr 1.85-1.86
12 N 0.8603 0.8603 0.1869  2 Cr 1.85-1.86

Total energy ... -6.34 eV/atom
SG ... Cmc2_1, No. 36
Crystal system ... orthorhombic

No. 2
The following is a PBE-GGA calculation of Pr2Pd9Au after structural relaxation, from the Alexandria database.

Lattice parameters (Å, degrees): 4.1666 4.1666 12.3800 90.00 90.00 90.00
Last column: nearest neighbours and their distance in Å.
Atoms (fractional coordinates):
1 Pr 0.0000 0.0000 0.3259  12 Pd 2.95-3.00
2 Pr 0.0000 0.0000 0.6741  12 Pd 2.95-3.00
3 Pd 0.5000 0.5000 0.0000  8 Pd 2.84, 4 Au 2.95
4 Pd 0.5000 0.5000 0.3290  4 Pr 2.95, 8 Pd 2.97-2.99
5 Pd 0.5000 0.5000 0.6710  4 Pr 2.95, 8 Pd 2.97-2.99
6 Pd 0.5000 0.0000 0.1556  8 Pd 2.84-2.99, 2 Au 2.84, 2 Pr 2.96
7 Pd 0.5000 0.0000 0.5000  8 Pd 2.95-2.97, 4 Pr 3.00
8 Pd 0.5000 0.0000 0.8444  8 Pd 2.84-2.99, 2 Au 2.84, 2 Pr 2.96
9 Pd 0.0000 0.5000 0.1556  8 Pd 2.84-2.99, 2 Au 2.84, 2 Pr 2.96
10 Pd 0.0000 0.5000 0.5000  8 Pd 2.95-2.97, 4 Pr 3.00
11 Pd 0.0000 0.5000 0.8444  8 Pd 2.84-2.99, 2 Au 2.84, 2 Pr 2.96
12 Au 0.0000 0.0000 0.0000  12 Pd 2.84-2.95

Total energy ... -5.45 eV/atom
SG ... P4/mmm, No. 123
Crystal system ... tetragonal
Polymorph energy (0 for the lowest one) ... 0.0 meV/atom

No. 3
The following is a PBE-GGA calculation of CsPbSe2O8 after structural relaxation, from the Alexandria database.

Lattice parameters (Å, degrees): 5.4135 5.4135 9.8540 74.06 74.06 60.00
Last column: nearest neighbours and their distance in Å.
Atoms (fractional coordinates):
1 Cs 0.5000 0.5000 0.5000  6 O 3.28
2 Pb 0.0000 0.0000 0.0000  6 O 2.40
3 Se 0.2616 0.2616 0.2152  4 O 1.65-1.69
4 Se 0.7384 0.7384 0.7848  4 O 1.65-1.69
5 O 0.2027 0.2027 0.3920  1 Se 1.65
6 O 0.5778 0.2793 0.1554  1 Se 1.69
7 O 0.7973 0.7973 0.6080  1 Se 1.65
8 O 0.9875 0.5778 0.1554  1 Se 1.69
9 O 0.0125 0.4222 0.8446  1 Se 1.69
10 O 0.2793 0.9875 0.1554  1 Se 1.69
11 O 0.7207 0.0125 0.8446  1 Se 1.69
12 O 0.4222 0.7207 0.8446  1 Se 1.69

Total energy ... -5.20 eV/atom
SG ... R-3, No. 148
Crystal system ... trigonal

No. 4
The following is a PBE-GGA calculation of Ac4Ag3Pb after structural relaxation, from the Alexandria database.

Lattice parameters (Å, degrees): 4.4226 4.9958 12.1449 90.00 90.00 90.00
Last column: nearest neighbours and their distance in Å.
Atoms (fractional coordinates):
1 Ac 0.5000 0.5000 0.3659  6 Ag 3.35-3.42, 1 Pb 3.46
2 Ac 0.0000 0.5000 0.8503  5 Ag 3.36-3.43, 2 Pb 3.57
3 Ac 0.0000 0.0000 0.1467  3 Ag 3.43-3.57, 4 Pb 3.43
4 Ac 0.5000 0.0000 0.6384  7 Ag 3.37-3.43
5 Ag 0.0000 0.5000 0.5733  2 Ag 3.05, 3 Ac 3.35-3.36
6 Ag 0.0000 0.0000 0.4287  2 Ag 3.05, 2 Ac 3.37
7 Ag 0.5000 0.0000 0.9159  2 Pb 3.20, 7 Ac 3.37-3.57
8 Pb 0.5000 0.5000 0.0809  2 Ag 3.20, 7 Ac 3.43-3.57

Total energy ... -3.90 eV/atom
SG ... Pmm2, No. 25
Crystal system ... orthorhombic
Polymorph energy (0 for the lowest one) ... 3.4 meV/atom

No. 5
The following is a PBE-GGA calculation of ZrMn2Ni2 after structural relaxation, from the Alexandria database.

Lattice parameters (Å, degrees): 3.3798 3.3798 6.3434 74.55 74.55 90.00
Last column: nearest neighbours and their distance in Å.
Atoms (fractional coordinates):
1 Ni 0.3993 0.3993 0.2013  1 Ni 2.37, 4 Mn 2.44
2 Ni 0.6007 0.6007 0.7987  1 Ni 2.37, 4 Mn 2.44
3 Mn 0.7500 0.2500 0.5000  4 Mn 2.39, 4 Ni 2.44
4 Mn 0.2500 0.7500 0.5000  4 Mn 2.39, 4 Ni 2.44
5 Zr 0.0000 0.0000 0.0000  8 Ni 2.67

Total energy ... -7.68 eV/atom
SG ... I4/mmm, No. 139
Crystal system ... tetragonal
Polymorph energy (0 for the lowest one) ... 54.6 meV/atom

No. 6
The following is a PBE-GGA calculation of Ba2ErHfSe6 after structural relaxation, from the Alexandria database.

Lattice parameters (Å, degrees): 7.5653 7.5646 10.6961 90.00 90.00 90.00
Last column: nearest neighbours and their distance in Å.
Atoms (fractional coordinates):
1 Ba 0.5000 0.7473 0.2498  12 Se 3.75-3.82
2 Ba 0.0000 0.2527 0.7498  12 Se 3.75-3.82
3 Ba 0.5000 0.7473 0.7502  12 Se 3.75-3.82
4 Ba 0.0000 0.2527 0.2502  12 Se 3.75-3.82
5 Er 0.5000 0.2480 0.5000  6 Se 2.73
6 Er 0.0000 0.7520 0.0000  6 Se 2.73
7 Hf 0.0000 0.7485 0.5000  6 Se 2.62
8 Hf 0.5000 0.2515 0.0000  6 Se 2.62
9 Se 0.5000 0.2516 0.2446  1 Hf 2.62, 1 Er 2.73
10 Se 0.5000 0.2516 0.7554  1 Hf 2.62, 1 Er 2.73
11 Se 0.0000 0.7484 0.2554  1 Hf 2.62, 1 Er 2.73
12 Se 0.0000 0.7484 0.7446  1 Hf 2.62, 1 Er 2.73
13 Se 0.2450 0.9924 0.5000  1 Hf 2.62, 1 Er 2.73
14 Se 0.7550 0.9924 0.5000  1 Hf 2.62, 1 Er 2.73
15 Se 0.2441 0.5031 0.5000  1 Hf 2.62, 1 Er 2.73
16 Se 0.7559 0.5031 0.5000  1 Hf 2.62, 1 Er 2.73
17 Se 0.7441 0.4969 0.0000  1 Hf 2.62, 1 Er 2.73
18 Se 0.2559 0.4969 0.0000  1 Hf 2.62, 1 Er 2.73
19 Se 0.2550 0.0076 0.0000  1 Hf 2.62, 1 Er 2.73
20 Se 0.7450 0.0076 0.0000  1 Hf 2.62, 1 Er 2.73

Total energy ... -5.53 eV/atom
SG ... Pmmn, No. 59
Crystal system ... orthorhombic

No. 7
The following is a PBE-GGA calculation of CsK2Al after structural relaxation, from the Alexandria database.

Lattice parameters (Å, degrees): 6.3987 6.3987 7.5460 90.00 90.00 120.00
Last column: nearest neighbours and their distance in Å.
Atoms (fractional coordinates):
1 Cs 0.0000 0.0000 0.5000  2 Al 3.77
2 K 0.3333 0.6667 0.0892  3 Al 3.76, 3 K 3.93
3 K 0.6667 0.3333 0.9108  3 Al 3.76, 3 K 3.93
4 Al 0.0000 0.0000 0.0000  6 K 3.76, 2 Cs 3.77

Total energy ... -1.39 eV/atom
SG ... P-3m1, No. 164
Crystal system ... trigonal
Polymorph energy (0 for the lowest one) ... 136.1 meV/atom

No. 8
The following is a PBE-GGA calculation of Si3SI after structural relaxation, from the Alexandria database.

Lattice parameters (Å, degrees): 5.3189 5.3189 5.3189 90.00 90.00 90.00
Last column: nearest neighbours and their distance in Å.
Atoms (fractional coordinates):
1 I 0.0000 0.0000 0.0000  6 Si 2.66
2 S 0.5000 0.5000 0.5000  12 Si 3.76
3 Si 0.0000 0.5000 0.0000  2 I 2.66
4 Si 0.0000 0.0000 0.5000  2 I 2.66
5 Si 0.5000 0.0000 0.0000  2 I 2.66

Total energy ... -2.54 eV/atom
SG ... Pm-3m, No. 221
Crystal system ... cubic
Polymorph energy (0 for the lowest one) ... 892.8 meV/atom

No. 9
The following is a PBE-GGA calculation of PtAuNF2 after structural relaxation, from the Alexandria database.

Lattice parameters (Å, degrees): 4.5652 4.5652 3.7676 90.00 90.00 90.00
Last column: nearest neighbours and their distance in Å.
Atoms (fractional coordinates):
1 N 0.0000 0.0000 0.5000  2 Au 1.88
2 Au 0.0000 0.0000 0.0000  2 N 1.88
3 Pt 0.5000 0.5000 0.5000  8 F 2.96, 4 N 3.23
4 F 0.0000 0.5000 0.0000  2 Au 2.28
5 F 0.5000 0.0000 0.0000  2 Au 2.28

Total energy ... -3.39 eV/atom
SG ... P4/mmm, No. 123
Crystal system ... tetragonal
Polymorph energy (0 for the lowest one) ... 727.2 meV/atom

No. 10
The following is a PBE-GGA calculation of NaSmAg2Cl6 after structural relaxation, from the Alexandria database.

Lattice parameters (Å, degrees): 7.0556 7.0524 7.6622 90.37 116.96 120.89
Last column: nearest neighbours and their distance in Å.
Atoms (fractional coordinates):
1 Na 0.9991 0.0019 0.9848  6 Cl 2.80-2.88
2 Sm 0.9867 0.4951 0.4653  6 Cl 2.69-2.77
3 Ag 0.5948 0.8020 0.3559  3 Cl 2.60-2.63
4 Ag 0.4611 0.2306 0.6855  3 Cl 2.54-2.55
5 Cl 0.4837 0.8825 0.7217  1 Ag 2.55, 1 Sm 2.73
6 Cl 0.4998 0.1038 0.2248  1 Ag 2.62, 1 Sm 2.70, 1 Na 2.80
7 Cl 0.8473 0.7326 0.2262  1 Ag 2.63, 1 Sm 2.69, 1 Na 2.82
8 Cl 0.1533 0.4086 0.2392  1 Ag 2.60, 1 Sm 2.71, 1 Na 2.83
9 Cl 0.8435 0.6003 0.7092  1 Ag 2.54, 1 Sm 2.74
10 Cl 0.0962 0.2201 0.6899  1 Ag 2.55, 1 Sm 2.77

Total energy ... -3.72 eV/atom
SG ... P1, No. 1
Crystal system ... triclinic

No. 11
The following is a PBE-GGA calculation of Cr2AgOs after structural relaxation, from the Alexandria database.

Lattice parameters (Å, degrees): 4.5837 4.5837 4.5845 130.09 130.09 73.25
Last column: nearest neighbours and their distance in Å.
Atoms (fractional coordinates):
1 Ag 0.2500 0.7500 0.5000  8 Cr 2.67, 4 Os 2.73-2.74
2 Cr 0.0000 0.0000 0.0000  4 Os 2.67, 4 Ag 2.67, 4 Cr 2.73-2.74
3 Cr 0.5000 0.5000 0.0000  4 Os 2.67, 4 Ag 2.67, 4 Cr 2.73-2.74
4 Os 0.7500 0.2500 0.5000  8 Cr 2.67, 4 Ag 2.73-2.74

Total energy ... -7.78 eV/atom
SG ... I4/mmm, No. 139
Crystal system ... tetragonal